# 1
A geometry-optimized Tl2CdIn structure. Source: the Alexandria database, functional GGA-PBE.

Values from the calculation:
- crystal system = orthorhombic
- total DFT energy (no corrections) (eV per atom) = -2.05
- energy above the lowest structure with this stoichiometry (eV per atom) = 0.029

a = 3.958 Å, b = 5.351 Å, c = 10.719 Å
α = 90.00°, β = 90.00°, γ = 90.00°
Space group Immm (No. 71)
Unique sites:
1 Tl 0.000 0.000 0.244 x4
2 Cd 0.000 0.500 0.500 x2
3 In 0.000 0.500 0.000 x2

# 2
A geometry-optimized Tl3CdIn12 structure. Source: the Alexandria database, functional GGA-PBE.

Values from the calculation:
- crystal system = tetragonal
- total DFT energy (no corrections) (eV per atom) = -2.52

a = 4.719 Å, b = 4.719 Å, c = 19.821 Å
α = 90.00°, β = 90.00°, γ = 90.00°
Space group P4/mmm (No. 123)
Unique sites:
1 Tl 0.000 0.000 0.000 x1
2 Tl 0.000 0.000 0.256 x2
3 Cd 0.000 0.000 0.500 x1
4 In 0.000 0.500 0.127 x4
5 In 0.000 0.500 0.384 x4
6 In 0.500 0.500 0.000 x1
7 In 0.500 0.500 0.255 x2
8 In 0.500 0.500 0.500 x1

# 3
A geometry-optimized TlCd6In structure. Source: the Alexandria database, functional GGA-PBE.

Values from the calculation:
- crystal system = tetragonal
- total DFT energy (no corrections) (eV per atom) = -1.27
- energy above the lowest structure with this stoichiometry (eV per atom) = 0.000

a = 4.492 Å, b = 4.492 Å, c = 9.712 Å
α = 90.00°, β = 90.00°, γ = 90.00°
Space group P4/mmm (No. 123)
Unique sites:
1 Tl 0.000 0.000 0.000 x1
2 Cd 0.000 0.500 0.257 x4
3 Cd 0.500 0.500 0.000 x1
4 Cd 0.500 0.500 0.500 x1
5 In 0.000 0.000 0.500 x1

# 4
A geometry-optimized Tl3CdIn4 structure. Source: the Alexandria database, functional GGA-PBE.

Values from the calculation:
- crystal system = orthorhombic
- total DFT energy (no corrections) (eV per atom) = -2.34

a = 7.430 Å, b = 7.482 Å, c = 8.135 Å
α = 90.00°, β = 90.00°, γ = 90.00°
Space group Pmn2_1 (No. 31)
Unique sites:
1 Tl 0.000 0.020 0.000 x2
2 Tl 0.243 0.741 0.240 x4
3 Cd 0.000 0.484 0.000 x2
4 In 0.000 0.545 0.537 x2
5 In 0.000 0.973 0.532 x2
6 In 0.224 0.262 0.294 x4

# 5
A geometry-optimized TlCdIn2 structure. Source: the Alexandria database, functional GGA-PBE.

Values from the calculation:
- crystal system = monoclinic
- total DFT energy (no corrections) (eV per atom) = -2.15

a = 11.157 Å, b = 3.240 Å, c = 6.142 Å
α = 90.00°, β = 101.69°, γ = 90.00°
Space group Cm (No. 8)
Unique sites:
1 Tl 0.000 0.000 0.000 x2
2 Cd 0.250 0.000 0.748 x2
3 In 0.006 0.500 0.507 x2
4 In 0.256 0.500 0.262 x2

# 6
A geometry-optimized Tl3Cd2In6 structure. Source: the Alexandria database, functional GGA-PBE.

Values from the calculation:
- crystal system = trigonal
- total DFT energy (no corrections) (eV per atom) = -2.28

a = 3.4319 Å, b = 3.4319 Å, c = 88.4744 Å
α = 90.00°, β = 90.00°, γ = 120.00°
Space group R-3m (No. 166, hexagonal axes)
Unique sites:
1 Tl 0.0000 0.0000 0.0000 x3
2 Tl 0.0000 0.0000 0.2698 x6
3 Cd 0.0000 0.0000 0.4568 x6
4 In 0.0000 0.0000 0.0952 x6
5 In 0.0000 0.0000 0.1817 x6
6 In 0.0000 0.0000 0.3650 x6

The highest total DFT energy (no corrections) belongs to which entry?
TlCd6In

What is the formula in the fifth record?
TlCdIn2

Repeat the third record exactly.
A geometry-optimized TlCd6In structure. Source: the Alexandria database, functional GGA-PBE.

Values from the calculation:
- crystal system = tetragonal
- total DFT energy (no corrections) (eV per atom) = -1.27
- energy above the lowest structure with this stoichiometry (eV per atom) = 0.000

a = 4.492 Å, b = 4.492 Å, c = 9.712 Å
α = 90.00°, β = 90.00°, γ = 90.00°
Space group P4/mmm (No. 123)
Unique sites:
1 Tl 0.000 0.000 0.000 x1
2 Cd 0.000 0.500 0.257 x4
3 Cd 0.500 0.500 0.000 x1
4 Cd 0.500 0.500 0.500 x1
5 In 0.000 0.000 0.500 x1

The highest total DFT energy (no corrections) belongs to which entry?
TlCd6In